--- w ---
The following is a DFT calculation (PBE) of a geometry-optimized TaPbSeN2 structure.

The volume is 104 Å³ per cell.

Cell lengths 4.0416, 4.0416, 6.3824 Å; angles 90.00, 90.00, 90.00 degrees
With the nearest neighbours (Å) after each atom.
Space group P4/mmm (No. 123)
Symmetry-distinct sites (fractional):
Ta1 0.0000 0.0000 0.0000 (multiplicity 1)  4 N 2.02
Pb1 0.0000 0.0000 0.5000 (multiplicity 1)  4 Se 2.86, 2 Ta 3.19
Se1 0.5000 0.5000 0.5000 (multiplicity 1)  4 Pb 2.86
N1 0.0000 0.5000 0.0000 (multiplicity 2)  2 Ta 2.02



--- x ---
The following is a DFT calculation (PBE) of a geometry-optimized TaPbSeN2 structure.

The volume is 100 Å³ per cell.

Cell lengths 4.3103, 4.3103, 5.3764 Å; angles 90.00, 90.00, 90.00 degrees
With the nearest neighbours (Å) after each atom.
Space group P4/mmm (No. 123)
Symmetry-distinct sites (fractional):
Ta1 0.0000 0.0000 0.0000 (multiplicity 1)  4 Se 3.05
Pb1 0.5000 0.5000 0.5000 (multiplicity 1)  4 N 2.16
Se1 0.5000 0.5000 0.0000 (multiplicity 1)  2 Pb 2.69
N1 0.0000 0.5000 0.5000 (multiplicity 2)  2 Pb 2.16



Q: Which of them is the most stable? A: w.



--- w ---
The following is a DFT calculation (PBE) of a geometry-optimized TiPbSeN2 structure.

The volume is 87 Å³ per cell.

Cell lengths 4.0444, 4.0444, 5.3463 Å; angles 90.00, 90.00, 90.00 degrees
With the nearest neighbours (Å) after each atom.
Space group P4/mmm (No. 123)
Symmetry-distinct sites (fractional):
Ti1 0.0000 0.0000 0.0000 (multiplicity 1)  4 N 2.02
Pb1 0.5000 0.5000 0.5000 (multiplicity 1)  4 Se 2.86
Se1 0.0000 0.0000 0.5000 (multiplicity 1)  2 Ti 2.67, 4 Pb 2.86
N1 0.0000 0.5000 0.0000 (multiplicity 2)  2 Ti 2.02



--- x ---
The following is a DFT calculation (PBE) of a geometry-optimized TiPbSeN2 structure.

The volume is 101 Å³ per cell.

Cell lengths 4.2337, 4.2337, 5.6355 Å; angles 90.00, 90.00, 90.00 degrees
With the nearest neighbours (Å) after each atom.
Space group P4/mmm (No. 123)
Symmetry-distinct sites (fractional):
Ti1 0.0000 0.0000 0.0000 (multiplicity 1)  4 Se 2.99
Pb1 0.5000 0.5000 0.5000 (multiplicity 1)  4 N 2.12
Se1 0.5000 0.5000 0.0000 (multiplicity 1)  2 Pb 2.82, 4 Ti 2.99
N1 0.0000 0.5000 0.5000 (multiplicity 2)  2 Pb 2.12



Q: Which of them is the most stable? A: w.



--- w ---
The following is a DFT calculation (PBE) of a geometry-optimized TlPbSeN2 structure.

The volume is 127 Å³ per cell.

Cell lengths 4.6626, 4.6626, 5.8237 Å; angles 90.00, 90.00, 90.00 degrees
With the nearest neighbours (Å) after each atom.
Space group P4/mmm (No. 123)
Symmetry-distinct sites (fractional):
Tl1 0.0000 0.0000 0.0000 (multiplicity 1)  4 Se 3.30
Pb1 0.5000 0.5000 0.5000 (multiplicity 1)  4 N 2.33
Se1 0.5000 0.5000 0.0000 (multiplicity 1)  2 Pb 2.91
N1 0.0000 0.5000 0.5000 (multiplicity 2)  2 Pb 2.33



--- x ---
The following is a DFT calculation (PBE) of a geometry-optimized TlPbSeN2 structure.

The volume is 139 Å³ per cell.

Cell lengths 4.7479, 4.7479, 6.1475 Å; angles 90.00, 90.00, 90.00 degrees
With the nearest neighbours (Å) after each atom.
Space group P4/mmm (No. 123)
Symmetry-distinct sites (fractional):
Tl1 0.0000 0.0000 0.0000 (multiplicity 1)  4 N 2.37
Pb1 0.5000 0.5000 0.5000 (multiplicity 1)  4 Se 3.36
Se1 0.0000 0.0000 0.5000 (multiplicity 1)  2 Tl 3.07, 4 Pb 3.36
N1 0.0000 0.5000 0.0000 (multiplicity 2)  2 Tl 2.37



Q: Which of them is the most stable? A: w.